# Cd2HgOs (PBE, relaxed)
# Energy of formation from the pure elements in kJ/mol of atoms: 76.6
# Total moment in μB per cell: 3.2
# D(E_F) in states/eV/cell: 7.92
data_Cd2HgOs
_chemical_formula_sum 'Cd8 Hg4 Os4'
_symmetry_space_group_name_H-M 'I -4 2 d'
_symmetry_Int_Tables_number 122
_symmetry_space_group_name_Hall 'I -4 2bw'
_cell_length_a 4.097
_cell_length_b 4.097
_cell_length_c 19.857
_cell_angle_alpha 90.00
_cell_angle_beta 90.00
_cell_angle_gamma 90.00
loop_
_atom_site_label
_atom_site_type_symbol
_atom_site_fract_x
_atom_site_fract_y
_atom_site_fract_z
Cd1 Cd 0.231 0.250 0.125
Hg1 Hg 0.000 0.000 0.500
Os1 Os 0.000 0.000 0.000